1.
{"formula": "Ac2EuHg", "functional": "PBE", "state": "relaxed", "cell": [[4.0356, 0.0000, 0.0000], [0.0000, 4.0356, 0.0000], [0.0000, 0.0000, 9.4497]], "species": ["Ac", "Ac", "Eu", "Hg"], "frac_coords": [[0.0000, 0.0000, 0.2112], [0.0000, 0.0000, 0.7889], [0.5000, 0.5000, 0.5000], [0.5000, 0.5000, 0.0000]], "formation_enthalpy_0k_ev_per_atom": -0.22, "sg": "P4/mmm (123)", "dos_at_fermi_per_ev_cell": 3.73}

---

2.
{"formula": "Lu2CdPd2", "functional": "PBE", "state": "relaxed", "cell": [[7.6953, 0.0000, 0.0000], [0.0000, 7.6953, 0.0000], [0.0000, 0.0000, 3.5751]], "species": ["Lu", "Lu", "Lu", "Lu", "Cd", "Cd", "Pd", "Pd", "Pd", "Pd"], "frac_coords": [[0.1677, 0.3323, 0.0000], [0.3323, 0.8323, 0.0000], [0.6677, 0.1677, 0.0000], [0.8323, 0.6677, 0.0000], [0.0000, 0.0000, 0.5000], [0.5000, 0.5000, 0.5000], [0.1313, 0.6313, 0.5000], [0.3687, 0.1313, 0.5000], [0.6313, 0.8687, 0.5000], [0.8687, 0.3687, 0.5000]], "formation_enthalpy_0k_ev_per_atom": -0.82, "sg": "P4/mbm (127)", "dos_at_fermi_per_ev_cell": 7.24}

---

3.
{"formula": "Cd2PbCl6", "functional": "PBE", "state": "relaxed", "cell": [[6.8278, 0.0000, 0.0000], [-3.4139, 5.9131, 0.0000], [0.0000, 0.0000, 6.3058]], "species": ["Cd", "Cd", "Pb", "Cl", "Cl", "Cl", "Cl", "Cl", "Cl"], "frac_coords": [[0.3333, 0.6667, 0.0000], [0.6667, 0.3333, 0.0000], [0.0000, 0.0000, 0.5000], [0.0000, 0.3550, 0.2368], [0.0000, 0.6450, 0.7632], [0.3550, 0.0000, 0.2368], [0.3550, 0.3550, 0.7632], [0.6450, 0.0000, 0.7632], [0.6450, 0.6450, 0.2368]], "sg": "P-31m (162)", "raw_formation_energy_ev_per_atom": -1.101, "dos_at_fermi_per_ev_cell": 0.00}

---

4.
{"formula": "SiAgIr3", "functional": "PBE", "state": "relaxed", "cell": [[4.7726, 0.0000, 0.0000], [0.0000, 4.7726, 0.0000], [0.0000, 0.0000, 4.7726]], "species": ["Si", "Ag", "Ir", "Ir", "Ir"], "frac_coords": [[0.0000, 0.0000, 0.0000], [0.5000, 0.5000, 0.5000], [0.0000, 0.5000, 0.5000], [0.5000, 0.0000, 0.5000], [0.5000, 0.5000, 0.0000]], "sg": "Pm-3m (221)", "raw_formation_energy_ev_per_atom": 2.487, "dos_at_fermi_per_ev_cell": 6.34}

---

5.
{"formula": "PrEr6Sc", "functional": "PBE", "state": "relaxed", "cell": [[5.6807, 3.2798, 2.2313], [-5.6807, 3.2798, 2.2313], [0.0000, -6.5595, 2.2313]], "species": ["Pr", "Er", "Er", "Er", "Er", "Er", "Er", "Sc"], "frac_coords": [[0.0000, 0.0000, 0.0000], [0.2517, 0.2517, 0.7351], [0.2517, 0.7351, 0.2517], [0.2649, 0.7483, 0.7483], [0.7351, 0.2517, 0.2517], [0.7483, 0.2649, 0.7483], [0.7483, 0.7483, 0.2649], [0.5000, 0.5000, 0.5000]], "formation_enthalpy_0k_ev_per_atom": 0.24, "sg": "R-3m (166)", "dos_at_fermi_per_ev_cell": 15.64}

---

6.
{"formula": "Ni2RuI", "functional": "PBE", "state": "relaxed", "cell": [[0.0000, 3.0967, 3.0967], [3.0967, 0.0000, 3.0967], [3.0967, 3.0967, 0.0000]], "species": ["Ni", "Ni", "Ru", "I"], "frac_coords": [[0.2500, 0.2500, 0.2500], [0.7500, 0.7500, 0.7500], [0.0000, 0.0000, 0.0000], [0.5000, 0.5000, 0.5000]], "sg": "Fm-3m (225)", "raw_formation_energy_ev_per_atom": 0.837, "dos_at_fermi_per_ev_cell": 9.45}

---

Please write out number 2 again, unchanged.
{"formula": "Lu2CdPd2", "functional": "PBE", "state": "relaxed", "cell": [[7.6953, 0.0000, 0.0000], [0.0000, 7.6953, 0.0000], [0.0000, 0.0000, 3.5751]], "species": ["Lu", "Lu", "Lu", "Lu", "Cd", "Cd", "Pd", "Pd", "Pd", "Pd"], "frac_coords": [[0.1677, 0.3323, 0.0000], [0.3323, 0.8323, 0.0000], [0.6677, 0.1677, 0.0000], [0.8323, 0.6677, 0.0000], [0.0000, 0.0000, 0.5000], [0.5000, 0.5000, 0.5000], [0.1313, 0.6313, 0.5000], [0.3687, 0.1313, 0.5000], [0.6313, 0.8687, 0.5000], [0.8687, 0.3687, 0.5000]], "formation_enthalpy_0k_ev_per_atom": -0.82, "sg": "P4/mbm (127)", "dos_at_fermi_per_ev_cell": 7.24}